(1)
## TbPaHg2 (PBE-GGA)

Data for an optimized crystal structure of TbPaHg2.

Calculated values
Calculated total energy: -14.946 eV for the cell shown
Magnetization: 2.44 Bohr magnetons per cell
Offset from the most stable computed form: 0.40 eV per formula unit
ΔH_f (0 K): -0.054 eV/atom

```
TbPaHg2
1.0
0.000 3.740 3.740
3.740 0.000 3.740
3.740 3.740 0.000
Tb Pa Hg
1 1 2
direct
0.000 0.000 0.000
0.500 0.500 0.500
0.250 0.250 0.250
0.750 0.750 0.750
```

---

(2)
## Tb2PaHg (PBE-GGA)

Data for an optimized crystal structure of Tb2PaHg.

Calculated values
Calculated total energy: -18.325 eV for the cell shown
Magnetization: 0.00 Bohr magnetons per cell
Offset from the most stable computed form: 1.29 eV per formula unit
ΔH_f (0 K): 0.183 eV/atom

```
Tb2PaHg
1.0
1.654 0.955 11.652
-1.654 0.955 11.652
0.000 -1.909 11.652
Tb Pa Hg
2 1 1
direct
0.093 0.093 0.093
0.907 0.907 0.907
0.000 0.000 0.000
0.500 0.500 0.500
```

---

Question: magnetization of number 1 (TbPaHg2)?
Answer: 2.44 Bohr magnetons per cell

---

Question: What is the formula in the second record?
Answer: Tb2PaHg

---

Question: Among the records above, which one has the lowest magnetization?
Answer: Tb2PaHg

---

Please write out number 2 again, unchanged.
## Tb2PaHg (PBE-GGA)

Data for an optimized crystal structure of Tb2PaHg.

Calculated values
Calculated total energy: -18.325 eV for the cell shown
Magnetization: 0.00 Bohr magnetons per cell
Offset from the most stable computed form: 1.29 eV per formula unit
ΔH_f (0 K): 0.183 eV/atom

```
Tb2PaHg
1.0
1.654 0.955 11.652
-1.654 0.955 11.652
0.000 -1.909 11.652
Tb Pa Hg
2 1 1
direct
0.093 0.093 0.093
0.907 0.907 0.907
0.000 0.000 0.000
0.500 0.500 0.500
```